Below is a geometry-optimized ZnIrSN2 structure, with properties calculated at the GGA-PBEsol level.

Properties
**Raw total energy**: -4.68 eV per atom
**Fermi-level density of states**: 4.8 states/eV/cell
**Calculated density**: 8.041 g cm⁻³
**Space group**: P4/mmm, No. 123

Cell: 3.665 3.665 4.884 Å, 90.00 90.00 90.00°
Sites, in units of the cell vectors:
Zn 0.000 0.000 0.000
Ir 0.500 0.500 0.500
S 0.000 0.000 0.500
N 0.000 0.500 0.000
N 0.500 0.000 0.000